The following is a GGA-PBE calculation of an optimized crystal structure of SmMg3Bi3, from the Alexandria database.

Results
The calculation puts the raw total energy at -0.24462 Ry per atom. As for the formation energy from the elements: -0.31 eV per atom.

Unit cell a=11.7558 b=11.7558 c=4.4559 alpha=90.00 beta=90.00 gamma=120.00
Space group P6_3/m (No. 176)
Unique sites:
Sm 0.3333 0.6667 0.2500
Mg 0.0424 0.6257 0.7500
Bi 0.1347 0.4310 0.7500